A plane-wave DFT calculation with PBE-GGA was carried out for a relaxed structure of YCd2Au3.

abc: 4.849 4.849 12.301
angles: 90.00 90.00 120.00
Fractional positions:
Y: 0.333 0.667 0.671
Y: 0.667 0.333 0.329
Cd: 0.000 0.000 0.500
Cd: 0.333 0.667 0.166
Cd: 0.667 0.333 0.834
Cd: 0.000 0.000 0.000
Au: 0.333 0.667 0.424
Au: 0.667 0.333 0.081
Au: 0.000 0.000 0.764
Au: 0.000 0.000 0.236
Au: 0.333 0.667 0.919
Au: 0.667 0.333 0.576

Properties
Crystal system   trigonal
Symmetry   P-3m1, No. 164
Calculated total energy   -3.517 eV per atom
Formation enthalpy at 0 K   -0.496 eV/atom

A plane-wave DFT calculation with PBE-GGA was carried out for a relaxed structure of YCd3Au.

abc: 5.184 5.184 5.184
angles: 90.00 90.00 90.00
Fractional positions:
Y: 0.500 0.500 0.500
Au: 0.000 0.000 0.000
Cd: 0.000 0.500 0.000
Cd: 0.000 0.000 0.500
Cd: 0.500 0.000 0.000

Properties
Crystal system   cubic
Symmetry   Pm-3m, No. 221
Calculated total energy   -2.414 eV per atom
Formation enthalpy at 0 K   0.083 eV/atom

A plane-wave DFT calculation with PBE-GGA was carried out for a relaxed structure of Y2CdAu.

abc: 5.110 5.110 5.110
angles: 60.00 60.00 60.00
Each line ends with the local moment (μB).
Fractional positions:
Au: 0.500 0.500 0.500  0.03
Cd: 0.750 0.750 0.750  0.01
Y: 0.000 0.000 0.000  0.33
Y: 0.250 0.250 0.250  0.24

Properties
Crystal system   cubic
Symmetry   F-43m, No. 216
Calculated total energy   -4.508 eV per atom
Formation enthalpy at 0 K   -0.228 eV/atom

A plane-wave DFT calculation with PBE-GGA was carried out for a relaxed structure of Y2CdAu4.

abc: 4.890 4.890 8.488
angles: 73.26 73.26 60.00
Fractional positions:
Y: 0.751 0.751 0.746
Y: 0.249 0.249 0.254
Cd: 0.000 0.000 0.000
Au: 0.874 0.874 0.379
Au: 0.126 0.126 0.621
Au: 0.625 0.625 0.124
Au: 0.375 0.375 0.876

Properties
Crystal system   trigonal
Symmetry   R-3m, No. 166
Calculated total energy   -4.429 eV per atom
Formation enthalpy at 0 K   -0.578 eV/atom

A plane-wave DFT calculation with PBE-GGA was carried out for a relaxed structure of YCd6Au12.

abc: 7.505 7.505 7.505
angles: 101.55 101.55 101.55
Fractional positions:
Y: 0.000 0.000 0.000
Cd: 0.786 0.837 0.556
Cd: 0.444 0.214 0.163
Cd: 0.163 0.444 0.214
Cd: 0.214 0.163 0.444
Cd: 0.556 0.786 0.837
Cd: 0.837 0.556 0.786
Au: 0.818 0.432 0.381
Au: 0.381 0.818 0.432
Au: 0.432 0.381 0.818
Au: 0.182 0.568 0.619
Au: 0.619 0.182 0.568
Au: 0.568 0.619 0.182
Au: 0.986 0.767 0.272
Au: 0.233 0.728 0.014
Au: 0.728 0.014 0.233
Au: 0.014 0.233 0.728
Au: 0.767 0.272 0.986
Au: 0.272 0.986 0.767

Properties
Crystal system   trigonal
Symmetry   R-3, No. 148
Calculated total energy   -2.859 eV per atom
Formation enthalpy at 0 K   -0.160 eV/atom

A plane-wave DFT calculation with PBE-GGA was carried out for a relaxed structure of YCdAu2.

abc: 3.553 3.551 7.721
angles: 62.62 90.00 90.00
Fractional positions:
Y: 0.500 0.750 0.750
Au: 0.000 0.996 0.004
Au: 0.000 0.504 0.496
Cd: 0.500 0.250 0.250

Properties
Crystal system   tetragonal
Symmetry   P4/mmm, No. 123
Calculated total energy   -4.086 eV per atom
Formation enthalpy at 0 K   -0.602 eV/atom